First-principles (GGA-PBE) data for ZrAs2Au after structural relaxation, as listed in OQMD.

Cell: 6.7632 6.7632 6.7632 Å, 90.00 90.00 90.00°
Element x y z (fractional)
1 Zr 0.0000 0.0000 0.0000
2 Zr 0.0000 0.5000 0.5000
3 Zr 0.5000 0.0000 0.5000
4 Zr 0.5000 0.5000 0.0000
5 As 0.0000 0.0000 0.5000
6 As 0.0000 0.5000 0.0000
7 As 0.2500 0.2500 0.7500
8 As 0.2500 0.7500 0.2500
9 As 0.5000 0.0000 0.0000
10 As 0.5000 0.5000 0.5000
11 As 0.7500 0.2500 0.2500
12 As 0.7500 0.7500 0.7500
13 Au 0.2500 0.2500 0.2500
14 Au 0.2500 0.7500 0.7500
15 Au 0.7500 0.2500 0.7500
16 Au 0.7500 0.7500 0.2500

Properties
**V**: 309 Å³ per cell
**Total moment**: 0.01 Bohr magnetons per cell
**Total DFT energy (no corrections)**: -86.2 eV/cell
**Space group**: F-43m

=====

First-principles (GGA-PBE) data for NaAgSnTe3 after structural relaxation, as listed in OQMD.

Cell: 12.3476 4.4838 12.8669 Å, 90.00 90.00 90.00°
Element x y z (fractional)
1 Na 0.2466 0.2500 0.0092
2 Na 0.2534 0.7500 0.5092
3 Na 0.7466 0.2500 0.4908
4 Na 0.7534 0.7500 0.9908
5 Ag 0.2099 0.2500 0.3204
6 Ag 0.2901 0.7500 0.8204
7 Ag 0.7099 0.2500 0.1796
8 Ag 0.7901 0.7500 0.6796
9 Sn 0.0224 0.2500 0.7616
10 Sn 0.4776 0.7500 0.2616
11 Sn 0.5224 0.2500 0.7384
12 Sn 0.9776 0.7500 0.2384
13 Te 0.0008 0.2500 0.4172
14 Te 0.0794 0.7500 0.9052
15 Te 0.2060 0.7500 0.1860
16 Te 0.2940 0.2500 0.6860
17 Te 0.4206 0.2500 0.4052
18 Te 0.4992 0.7500 0.9172
19 Te 0.5008 0.2500 0.0828
20 Te 0.5794 0.7500 0.5948
21 Te 0.7060 0.7500 0.3140
22 Te 0.7940 0.2500 0.8140
23 Te 0.9206 0.2500 0.0948
24 Te 0.9992 0.7500 0.5828

Properties
**V**: 712 Å³ per cell
**Total DFT energy (no corrections)**: -77.6 eV/cell
**E above lowest polymorph**: 0.0 meV/atom
**Space group**: Pnma

=====

First-principles (GGA-PBE) data for LiYTlCo after structural relaxation, as listed in OQMD.

Cell: 6.6867 6.6867 6.6867 Å, 90.00 90.00 90.00°
Element x y z (fractional)
1 Li 0.0000 0.0000 0.0000
2 Li 0.0000 0.5000 0.5000
3 Li 0.5000 0.0000 0.5000
4 Li 0.5000 0.5000 0.0000
5 Y 0.2500 0.2500 0.7500
6 Y 0.2500 0.7500 0.2500
7 Y 0.7500 0.2500 0.2500
8 Y 0.7500 0.7500 0.7500
9 Tl 0.2500 0.2500 0.2500
10 Tl 0.2500 0.7500 0.7500
11 Tl 0.7500 0.2500 0.7500
12 Tl 0.7500 0.7500 0.2500
13 Co 0.0000 0.0000 0.5000
14 Co 0.0000 0.5000 0.0000
15 Co 0.5000 0.0000 0.0000
16 Co 0.5000 0.5000 0.5000

Properties
**V**: 299 Å³ per cell
**Total moment**: 4.94 Bohr magnetons per cell
**Total DFT energy (no corrections)**: -72.5 eV/cell
**E above lowest polymorph**: 0.0 meV/atom
**Space group**: F-43m

=====

First-principles (GGA-PBE) data for NaTaTe3Au after structural relaxation, as listed in OQMD.

Cell: 7.7746 7.7746 10.7050 Å, 90.00 90.00 151.17°
Element x y z (fractional)
1 Na 0.2254 0.7746 0.7500
2 Na 0.7746 0.2254 0.2500
3 Ta 0.0000 0.0000 0.0000
4 Ta 0.0000 0.0000 0.5000
5 Te 0.0887 0.9113 0.2500
6 Te 0.3632 0.6368 0.0319
7 Te 0.3632 0.6368 0.4681
8 Te 0.6368 0.3632 0.5319
9 Te 0.6368 0.3632 0.9681
10 Te 0.9113 0.0887 0.7500
11 Au 0.4528 0.5472 0.2500
12 Au 0.5472 0.4528 0.7500

Properties
**V**: 312 Å³ per cell
**Total moment**: 0.52 Bohr magnetons per cell
**Total DFT energy (no corrections)**: -55.0 eV/cell
**Space group**: Cmcm

=====

First-principles (GGA-PBE) data for SmHoTm after structural relaxation, as listed in OQMD.

Cell: 7.6407 7.6407 7.6407 Å, 90.00 90.00 90.00°
Element x y z (fractional)
1 Sm 0.0000 0.0000 0.0000
2 Sm 0.0000 0.5000 0.5000
3 Sm 0.5000 0.0000 0.5000
4 Sm 0.5000 0.5000 0.0000
5 Ho 0.0000 0.0000 0.5000
6 Ho 0.0000 0.5000 0.0000
7 Ho 0.5000 0.0000 0.0000
8 Ho 0.5000 0.5000 0.5000
9 Tm 0.2500 0.2500 0.7500
10 Tm 0.2500 0.7500 0.2500
11 Tm 0.7500 0.2500 0.2500
12 Tm 0.7500 0.7500 0.7500

Properties
**V**: 446 Å³ per cell
**Total moment**: 0.06 Bohr magnetons per cell
**Total DFT energy (no corrections)**: -46.5 eV/cell
**E above lowest polymorph**: 0.0 meV/atom
**Space group**: F-43m
**Calculated formation energy**: 711 meV/atom

=====

First-principles (GGA-PBE) data for YCuTcBi after structural relaxation, as listed in OQMD.

Cell: 6.8036 6.8036 6.8036 Å, 90.00 90.00 90.00°
Element x y z (fractional)
1 Y 0.0000 0.0000 0.0000
2 Y 0.0000 0.5000 0.5000
3 Y 0.5000 0.0000 0.5000
4 Y 0.5000 0.5000 0.0000
5 Cu 0.2500 0.2500 0.2500
6 Cu 0.2500 0.7500 0.7500
7 Cu 0.7500 0.2500 0.7500
8 Cu 0.7500 0.7500 0.2500
9 Tc 0.2500 0.2500 0.7500
10 Tc 0.2500 0.7500 0.2500
11 Tc 0.7500 0.2500 0.2500
12 Tc 0.7500 0.7500 0.7500
13 Bi 0.0000 0.0000 0.5000
14 Bi 0.0000 0.5000 0.0000
15 Bi 0.5000 0.0000 0.0000
16 Bi 0.5000 0.5000 0.5000

Properties
**V**: 315 Å³ per cell
**Total moment**: 0.08 Bohr magnetons per cell
**Total DFT energy (no corrections)**: -95.4 eV/cell
**E above lowest polymorph**: 0.0 meV/atom
**Space group**: F-43m

=====

First-principles (GGA-PBE) data for KLuBAu after structural relaxation, as listed in OQMD.

Cell: 6.6676 6.6676 6.6676 Å, 90.00 90.00 90.00°
Element x y z (fractional)
1 K 0.0000 0.0000 0.0000
2 K 0.0000 0.5000 0.5000
3 K 0.5000 0.0000 0.5000
4 K 0.5000 0.5000 0.0000
5 Lu 0.2500 0.2500 0.7500
6 Lu 0.2500 0.7500 0.2500
7 Lu 0.7500 0.2500 0.2500
8 Lu 0.7500 0.7500 0.7500
9 B 0.0000 0.0000 0.5000
10 B 0.0000 0.5000 0.0000
11 B 0.5000 0.0000 0.0000
12 B 0.5000 0.5000 0.5000
13 Au 0.2500 0.2500 0.2500
14 Au 0.2500 0.7500 0.7500
15 Au 0.7500 0.2500 0.7500
16 Au 0.7500 0.7500 0.2500

Properties
**V**: 296 Å³ per cell
**Total moment**: 0.00 Bohr magnetons per cell
**Total DFT energy (no corrections)**: -51.0 eV/cell
**E above lowest polymorph**: 154.5 meV/atom
**Space group**: F-43m

=====

First-principles (GGA-PBE) data for CdAgPb after structural relaxation, as listed in OQMD.

Cell: 6.7895 6.7895 6.7895 Å, 90.00 90.00 90.00°
Element x y z (fractional)
1 Cd 0.0000 0.0000 0.0000
2 Cd 0.0000 0.5000 0.5000
3 Cd 0.5000 0.0000 0.5000
4 Cd 0.5000 0.5000 0.0000
5 Ag 0.2500 0.2500 0.2500
6 Ag 0.2500 0.7500 0.7500
7 Ag 0.7500 0.2500 0.7500
8 Ag 0.7500 0.7500 0.2500
9 Pb 0.0000 0.0000 0.5000
10 Pb 0.0000 0.5000 0.0000
11 Pb 0.5000 0.0000 0.0000
12 Pb 0.5000 0.5000 0.5000

Properties
**V**: 313 Å³ per cell
**Total DFT energy (no corrections)**: -29.1 eV/cell
**Space group**: F-43m

=====

First-principles (GGA-PBE) data for HoTmPd after structural relaxation, as listed in OQMD.

Cell: 7.0037 4.8223 8.6594 Å, 90.00 90.00 90.00°
Element x y z (fractional)
1 Ho 0.0167 0.2500 0.1725
2 Ho 0.4833 0.7500 0.6725
3 Ho 0.5167 0.2500 0.3275
4 Ho 0.9833 0.7500 0.8275
5 Tm 0.1450 0.2500 0.5790
6 Tm 0.3550 0.7500 0.0790
7 Tm 0.6450 0.2500 0.9210
8 Tm 0.8550 0.7500 0.4210
9 Pd 0.2406 0.2500 0.9043
10 Pd 0.2594 0.7500 0.4043
11 Pd 0.7406 0.2500 0.5957
12 Pd 0.7594 0.7500 0.0957

Properties
**V**: 292 Å³ per cell
**Total moment**: 0.01 Bohr magnetons per cell
**Total DFT energy (no corrections)**: -64.8 eV/cell
**E above lowest polymorph**: 0.0 meV/atom
**Space group**: Pnma
**Calculated formation energy**: -659 meV/atom

=====

First-principles (GGA-PBE) data for CoSn2Te after structural relaxation, as listed in OQMD.

Cell: 7.1503 7.1503 7.1503 Å, 90.00 90.00 90.00°
Element x y z (fractional)
1 Co 0.0000 0.0000 0.0000
2 Co 0.0000 0.5000 0.5000
3 Co 0.5000 0.0000 0.5000
4 Co 0.5000 0.5000 0.0000
5 Sn 0.0000 0.0000 0.5000
6 Sn 0.0000 0.5000 0.0000
7 Sn 0.2500 0.2500 0.2500
8 Sn 0.2500 0.7500 0.7500
9 Sn 0.5000 0.0000 0.0000
10 Sn 0.5000 0.5000 0.5000
11 Sn 0.7500 0.2500 0.7500
12 Sn 0.7500 0.7500 0.2500
13 Te 0.2500 0.2500 0.7500
14 Te 0.2500 0.7500 0.2500
15 Te 0.7500 0.2500 0.2500
16 Te 0.7500 0.7500 0.7500

Properties
**V**: 366 Å³ per cell
**Total moment**: 6.10 Bohr magnetons per cell
**Total DFT energy (no corrections)**: -65.2 eV/cell
**Space group**: F-43m

=====

First-principles (GGA-PBE) data for Tm3In3Cu2Pt after structural relaxation, as listed in OQMD.

Cell: 7.5061 7.5061 3.8906 Å, 90.00 90.00 120.00°
Element x y z (fractional)
1 Tm 0.0000 0.5974 0.0000
2 Tm 0.4026 0.4026 0.0000
3 Tm 0.5974 0.0000 0.0000
4 In 0.0000 0.2678 0.5000
5 In 0.2678 0.0000 0.5000
6 In 0.7322 0.7322 0.5000
7 Cu 0.3333 0.6667 0.5000
8 Cu 0.6667 0.3333 0.5000
9 Pt 0.0000 0.0000 0.0000

Properties
**V**: 190 Å³ per cell
**Total moment**: 0.00 Bohr magnetons per cell
**Total DFT energy (no corrections)**: -40.3 eV/cell
**Space group**: P-62m

=====

First-principles (GGA-PBE) data for Dy2Ho2NCl5 after structural relaxation, as listed in OQMD.

Cell: 8.5547 8.5547 7.6810 Å, 103.58 103.58 24.45°
Element x y z (fractional)
1 Dy 0.1438 0.1438 0.0790
2 Dy 0.8562 0.8562 0.9210
3 Ho 0.4988 0.4988 0.2069
4 Ho 0.5012 0.5012 0.7931
5 N 0.0000 0.0000 0.0000
6 Cl 0.0000 0.0000 0.5000
7 Cl 0.3294 0.3294 0.1713
8 Cl 0.3369 0.3369 0.6527
9 Cl 0.6631 0.6631 0.3473
10 Cl 0.6706 0.6706 0.8287

Properties
**V**: 226 Å³ per cell
**Total moment**: 0.00 Bohr magnetons per cell
**Total DFT energy (no corrections)**: -54.5 eV/cell
**Space group**: C2/m